A plane-wave DFT calculation with PBE-GGA was carried out for a relaxed structure of SmScO.

## Properties
* formation energy (no corrections): -1.77 eV per atom
* total magnetization: 0.075 μB per cell
* energy above the most stable polymorph in this dataset: 0.0000 eV per atom
* calculated density: 6.09 g/cm³

The structure in POSCAR format:
```
SmScO
1.0
-0.821 3.182 -0.826
-0.710 -2.539 -2.128
-5.167 -0.677 2.531
Sm O Sc
1 1 1
direct
0.000 0.000 0.084
0.667 0.333 0.370
0.333 0.667 0.546
```

A plane-wave DFT calculation with PBE-GGA was carried out for a relaxed structure of Ti4ReW.

## Properties
* total magnetization: 0.000 μB per cell
* E_form: -0.12 eV per atom
* calculated density: 9.58 g/cm³

The structure in POSCAR format:
```
Ti4ReW
1.0
5.233 -0.293 0.000
-1.945 4.868 0.000
0.000 0.000 7.818
W Ti Re
2 8 2
direct
0.500 0.500 0.000
0.000 0.500 0.500
0.116 0.109 0.667
0.107 0.614 0.837
0.884 0.891 0.333
0.893 0.386 0.163
0.384 0.891 0.167
0.393 0.386 0.337
0.607 0.614 0.663
0.616 0.109 0.833
0.500 0.000 0.500
0.000 0.000 0.000
```

A plane-wave DFT calculation with PBE-GGA was carried out for a relaxed structure of NdYCl6.

## Properties
* formation energy (no corrections): -2.20 eV per atom
* total magnetization: 0.000 μB per cell
* energy above the most stable polymorph in this dataset: 0.0422 eV per atom
* calculated density: 2.35 g/cm³

The structure in POSCAR format:
```
NdYCl6
1.0
7.293 0.018 -0.044
0.064 6.114 3.518
-0.014 0.003 7.054
Cl Y Nd
6 1 1
direct
0.242 0.021 0.307
0.242 0.734 0.021
0.235 0.307 0.734
0.758 0.307 0.021
0.765 0.734 0.307
0.758 0.021 0.734
0.000 0.021 0.021
0.500 0.021 0.021
```

A plane-wave DFT calculation with PBE-GGA was carried out for a relaxed structure of CaZr2Pb2.

## Properties
* total magnetization: 0.566 μB per cell
* energy above the most stable polymorph in this dataset: 0.0554 eV per atom
* E_form: -0.08 eV per atom
* calculated density: 7.97 g/cm³

The structure in POSCAR format:
```
CaZr2Pb2
1.0
8.905 0.000 0.000
0.000 8.905 0.000
0.000 0.000 3.345
Zr Pb Ca
4 4 2
direct
0.619 0.119 0.000
0.881 0.619 0.000
0.119 0.381 0.000
0.381 0.881 0.000
0.324 0.176 0.500
0.676 0.824 0.500
0.824 0.324 0.500
0.176 0.676 0.500
0.500 0.500 0.000
0.000 0.000 0.000
```

A plane-wave DFT calculation with PBE-GGA was carried out for a relaxed structure of NdSm6Ho3Tm2.

## Properties
* total magnetization: 0.000 μB per cell
* E_form: 0.02 eV per atom
* calculated density: 8.02 g/cm³

The structure in POSCAR format:
```
NdSm6Ho3Tm2
1.0
6.210 0.000 0.012
-3.103 5.379 0.012
-1.055 -1.827 11.644
Nd Ho Sm Tm
1 3 6 2
direct
0.000 0.000 0.000
0.833 0.167 0.500
0.500 0.500 0.500
0.167 0.833 0.500
0.750 0.750 0.251
0.916 0.582 0.749
0.582 0.916 0.749
0.250 0.250 0.749
0.084 0.418 0.251
0.418 0.084 0.251
0.667 0.333 0.000
0.333 0.667 0.000
```

A plane-wave DFT calculation with PBE-GGA was carried out for a relaxed structure of HoEr5Al4.

## Properties
* total magnetization: 0.000 μB per cell
* E_form: -0.31 eV per atom
* calculated density: 7.53 g/cm³

The structure in POSCAR format:
```
HoEr5Al4
1.0
3.542 0.000 0.000
0.000 3.542 0.000
0.000 0.000 19.493
Er Al Ho
5 4 1
direct
0.500 0.500 0.128
0.500 0.500 0.500
0.500 0.500 0.315
0.500 0.500 0.872
0.500 0.500 0.685
0.000 0.000 0.221
0.000 0.000 0.407
0.000 0.000 0.779
0.000 0.000 0.593
0.000 0.000 0.000
```

A plane-wave DFT calculation with PBE-GGA was carried out for a relaxed structure of CdHg12Pb6.

## Properties
* total magnetization: 0.000 μB per cell
* E_form: 0.06 eV per atom
* calculated density: 11.50 g/cm³

The structure in POSCAR format:
```
CdHg12Pb6
1.0
-3.495 -0.435 7.365
-7.438 -0.738 -3.282
0.499 -8.148 0.047
Hg Pb Cd
12 6 1
direct
0.454 0.810 0.528
0.144 0.389 0.076
0.810 0.528 0.454
0.389 0.076 0.144
0.190 0.472 0.546
0.076 0.144 0.389
0.856 0.611 0.924
0.924 0.856 0.611
0.472 0.546 0.190
0.611 0.924 0.856
0.546 0.190 0.472
0.528 0.454 0.810
0.151 0.759 0.274
0.726 0.849 0.241
0.849 0.241 0.726
0.274 0.151 0.759
0.759 0.274 0.151
0.241 0.726 0.849
0.000 0.000 0.000
```

A plane-wave DFT calculation with PBE-GGA was carried out for a relaxed structure of K2GaPt2O6.

## Properties
* formation energy (no corrections): -1.08 eV per atom
* total magnetization: 0.000 μB per cell
* calculated density: 6.54 g/cm³

The structure in POSCAR format:
```
K2GaPt2O6
1.0
-4.912 -1.462 -2.015
2.512 -3.317 3.608
-1.907 4.573 4.027
Pt Ga K O
2 1 2 6
direct
0.334 0.666 0.500
0.666 0.334 0.500
0.000 0.000 0.500
0.829 0.171 0.000
0.171 0.829 0.000
0.053 0.384 0.663
0.731 0.731 0.664
0.947 0.616 0.337
0.616 0.947 0.337
0.269 0.269 0.336
0.384 0.053 0.663
```

A plane-wave DFT calculation with PBE-GGA was carried out for a relaxed structure of SbAsOs2.

## Properties
* formation energy (no corrections): 0.83 eV per atom
* total magnetization: 0.000 μB per cell
* energy above the most stable polymorph in this dataset: 0.5358 eV per atom
* calculated density: 14.01 g/cm³

The structure in POSCAR format:
```
SbAsOs2
1.0
-2.341 -3.142 -3.641
-3.598 -3.348 2.111
1.403 5.077 -0.929
Sb Os As
1 2 1
direct
0.750 0.250 0.500
0.471 0.471 0.000
0.029 0.029 0.000
0.250 0.750 0.500
```

A plane-wave DFT calculation with PBE-GGA was carried out for a relaxed structure of SbRh2Br.

## Properties
* formation energy (no corrections): 0.21 eV per atom
* total magnetization: 0.000 μB per cell
* energy above the most stable polymorph in this dataset: 0.3659 eV per atom
* calculated density: 6.85 g/cm³

The structure in POSCAR format:
```
SbRh2Br
1.0
-4.301 -0.828 3.680
3.767 -0.676 4.251
-0.457 5.176 5.077
Sb Br Rh
2 2 4
direct
0.000 0.000 0.000
0.750 0.250 0.500
0.500 0.500 0.000
0.250 0.750 0.500
0.130 0.625 0.250
0.875 0.870 0.750
0.620 0.125 0.250
0.375 0.380 0.750
```

A plane-wave DFT calculation with PBE-GGA was carried out for a relaxed structure of Tl3CoSb.

## Properties
* formation energy (no corrections): 0.35 eV per atom
* total magnetization: 0.002 μB per cell
* energy above the most stable polymorph in this dataset: 0.0000 eV per atom
* calculated density: 9.84 g/cm³

The structure in POSCAR format:
```
Tl3CoSb
1.0
-4.753 -1.748 0.730
-0.072 -1.802 -4.788
1.892 -4.459 1.649
Co Tl Sb
1 3 1
direct
0.000 0.000 0.000
0.500 0.000 0.000
0.000 0.500 0.000
0.000 0.000 0.500
0.500 0.500 0.500
```

A plane-wave DFT calculation with PBE-GGA was carried out for a relaxed structure of Mg2PaI8.

## Properties
* formation energy (no corrections): -0.92 eV per atom
* total magnetization: 1.006 μB per cell
* calculated density: 3.81 g/cm³

The structure in POSCAR format:
```
Mg2PaI8
1.0
7.307 -0.101 0.293
-0.081 8.570 4.335
-0.394 1.078 9.535
I Mg Pa
8 2 1
direct
0.250 0.305 0.842
0.688 0.684 0.684
0.219 0.846 0.846
0.750 0.695 0.158
0.750 0.158 0.695
0.312 0.316 0.316
0.250 0.842 0.305
0.781 0.154 0.154
0.604 0.834 0.834
0.396 0.166 0.166
0.000 0.000 0.000
```

A plane-wave DFT calculation with PBE-GGA was carried out for a relaxed structure of Y2TiAgH.

## Properties
* total magnetization: 2.128 μB per cell
* energy above the most stable polymorph in this dataset: 0.1084 eV per atom
* calculated density: 5.65 g/cm³

The structure in POSCAR format:
```
Y2TiAgH
1.0
4.905 0.000 0.000
0.000 4.905 0.000
0.000 0.000 4.091
H Y Ag Ti
1 2 1 1
direct
0.000 0.000 0.000
0.000 0.500 0.000
0.500 0.000 0.000
0.000 0.000 0.500
0.500 0.500 0.500
```

A plane-wave DFT calculation with PBE-GGA was carried out for a relaxed structure of CsTlHg5.

## Properties
* total magnetization: 0.000 μB per cell
* energy above the most stable polymorph in this dataset: 0.0000 eV per atom
* E_form: -0.12 eV per atom
* calculated density: 9.74 g/cm³

The structure in POSCAR format:
```
CsTlHg5
1.0
-1.933 3.189 5.658
-5.265 -8.483 2.982
10.542 -4.404 6.084
Hg Tl Cs
20 4 4
direct
0.750 0.826 0.767
0.750 0.397 0.973
0.750 0.326 0.733
0.250 0.674 0.267
0.750 0.897 0.527
0.250 0.427 0.411
0.750 0.073 0.911
0.512 0.425 0.190
0.750 0.573 0.589
0.250 0.927 0.089
0.012 0.075 0.690
0.250 0.603 0.027
0.988 0.925 0.310
0.250 0.103 0.473
0.512 0.925 0.310
0.988 0.425 0.190
0.488 0.575 0.810
0.250 0.174 0.233
0.488 0.075 0.690
0.012 0.575 0.810
0.250 0.866 0.849
0.750 0.634 0.349
0.250 0.366 0.651
0.750 0.134 0.151
0.250 0.749 0.560
0.750 0.251 0.440
0.750 0.751 0.060
0.250 0.249 0.940
```

A plane-wave DFT calculation with PBE-GGA was carried out for a relaxed structure of BaAg3B.

## Properties
* total magnetization: 0.000 μB per cell
* energy above the most stable polymorph in this dataset: 1.7190 eV per atom
* E_form: 1.88 eV per atom
* calculated density: 3.28 g/cm³

The structure in POSCAR format:
```
BaAg3B
1.0
-1.514 -4.790 -3.638
4.780 1.320 -3.726
3.652 -3.713 3.369
Ag Ba B
3 1 1
direct
0.000 0.500 0.000
0.500 0.000 0.000
0.000 0.000 0.500
0.000 0.000 0.000
0.500 0.500 0.500
```

A plane-wave DFT calculation with PBE-GGA was carried out for a relaxed structure of Ho3SiNi2.

## Properties
* formation energy (no corrections): -0.51 eV per atom
* total magnetization: 0.000 μB per cell
* calculated density: 8.42 g/cm³

The structure in POSCAR format:
```
Ho3SiNi2
1.0
-3.800 0.321 1.007
2.025 -5.798 9.489
2.257 9.677 5.431
Ni Si Ho
8 4 12
direct
0.750 0.189 0.034
0.250 0.486 0.807
0.250 0.811 0.966
0.250 0.014 0.307
0.750 0.986 0.693
0.750 0.311 0.534
0.750 0.514 0.193
0.250 0.689 0.466
0.250 0.368 0.627
0.750 0.632 0.373
0.250 0.132 0.127
0.750 0.868 0.873
0.250 0.813 0.692
0.750 0.562 0.618
0.250 0.119 0.562
0.250 0.687 0.192
0.750 0.619 0.938
0.250 0.381 0.062
0.750 0.881 0.438
0.250 0.438 0.382
0.250 0.062 0.882
0.750 0.313 0.808
0.750 0.187 0.308
0.750 0.938 0.118
```

A plane-wave DFT calculation with PBE-GGA was carried out for a relaxed structure of UGa2Te6.

## Properties
* formation energy (no corrections): -0.24 eV per atom
* total magnetization: 2.515 μB per cell
* calculated density: 5.98 g/cm³

The structure in POSCAR format:
```
UGa2Te6
1.0
-5.158 3.232 4.339
-5.005 -7.713 1.389
3.837 -2.572 8.071
U Ga Te
2 4 12
direct
0.250 0.098 0.902
0.750 0.902 0.098
0.866 0.392 0.252
0.134 0.608 0.748
0.634 0.748 0.608
0.366 0.252 0.392
0.316 0.730 0.512
0.684 0.270 0.488
0.607 0.951 0.802
0.107 0.802 0.951
0.893 0.198 0.049
0.842 0.892 0.399
0.393 0.049 0.198
0.158 0.108 0.601
0.184 0.488 0.270
0.342 0.399 0.892
0.816 0.512 0.730
0.658 0.601 0.108
```

A plane-wave DFT calculation with PBE-GGA was carried out for a relaxed structure of Sc2Br.

## Properties
* formation energy (no corrections): -0.52 eV per atom
* total magnetization: 1.250 μB per cell
* energy above the most stable polymorph in this dataset: 0.1506 eV per atom
* calculated density: 3.45 g/cm³

The structure in POSCAR format:
```
Sc2Br
1.0
1.680 7.686 -0.066
-1.680 7.686 -0.066
0.000 1.369 6.313
Br Sc
2 4
direct
0.563 0.563 0.719
0.437 0.437 0.281
0.183 0.183 0.907
0.826 0.826 0.591
0.817 0.817 0.093
0.174 0.174 0.409
```

A plane-wave DFT calculation with PBE-GGA was carried out for a relaxed structure of NaVS2.

## Properties
* formation energy (no corrections): -1.02 eV per atom
* total magnetization: 2.000 μB per cell
* calculated density: 3.15 g/cm³

The structure in POSCAR format:
```
NaVS2
1.0
-3.298 5.130 3.129
-4.266 2.171 4.906
-1.128 3.748 5.627
Na S V
1 2 1
direct
0.500 0.500 0.500
0.735 0.735 0.735
0.265 0.265 0.265
0.000 0.000 0.000
```

A plane-wave DFT calculation with PBE-GGA was carried out for a relaxed structure of Ac2Pr7Er2.

## Properties
* total magnetization: 0.000 μB per cell
* energy above the most stable polymorph in this dataset: 0.0000 eV per atom
* E_form: 0.13 eV per atom
* calculated density: 7.22 g/cm³

The structure in POSCAR format:
```
Ac2Pr7Er2
1.0
6.035 1.190 1.718
0.413 8.218 1.350
0.413 -1.622 8.169
Pr Ac Er
7 2 2
direct
0.430 0.222 0.222
0.185 0.580 0.066
0.815 0.420 0.934
0.185 0.066 0.580
0.000 0.000 0.000
0.570 0.778 0.778
0.815 0.934 0.420
0.812 0.405 0.405
0.188 0.595 0.595
0.500 0.214 0.786
0.500 0.786 0.214
```

A plane-wave DFT calculation with PBE-GGA was carried out for a relaxed structure of NiAgS6.

## Properties
* formation energy (no corrections): 0.07 eV per atom
* total magnetization: 0.000 μB per cell
* calculated density: 2.89 g/cm³

The structure in POSCAR format:
```
NiAgS6
1.0
-8.304 -6.589 -4.093
2.412 -2.001 2.485
4.710 8.372 7.131
S Ag Ni
6 1 1
direct
0.068 0.295 0.592
0.307 0.868 0.158
0.693 0.132 0.842
0.015 0.553 0.164
0.985 0.447 0.836
0.932 0.705 0.408
0.500 0.500 0.500
0.000 0.000 0.000
```

A plane-wave DFT calculation with PBE-GGA was carried out for a relaxed structure of TaCrIn.

## Properties
* total magnetization: 0.316 μB per cell
* energy above the most stable polymorph in this dataset: 0.6107 eV per atom
* E_form: 0.82 eV per atom
* calculated density: 9.71 g/cm³

The structure in POSCAR format:
```
TaCrIn
1.0
4.382 0.000 0.000
2.191 3.795 0.000
2.191 1.265 3.578
Ta In Cr
1 1 1
direct
0.500 0.500 0.500
0.000 0.000 0.000
0.750 0.750 0.750
```